# 1
The following is a DFT calculation (PBE+U) of an optimized crystal structure of TiMoPb2O6.

Crystal system: tetragonal
Electronic total energy in eV for the cell shown: -70.732

```
data_TiMoPb2O6
_space_group_name_H-M_alt 'P 4 m m'
_space_group_IT_number 99
_cell_length_a 5.769
_cell_length_b 5.769
_cell_length_c 4.038
_cell_angle_alpha 90.00
_cell_angle_beta 90.00
_cell_angle_gamma 90.00
loop_
_space_group_symop_operation_xyz
'x,y,z'
'-y,x,z'
'-x,-y,z'
'y,-x,z'
'-x,y,z'
'y,x,z'
'x,-y,z'
'-y,-x,z'
loop_
_atom_site_label
_atom_site_fract_x
_atom_site_fract_y
_atom_site_fract_z
_atom_site_occupancy
Ti1 0.000 0.000 0.000 1
Mo1 0.500 0.500 0.031 1
Pb1 0.000 0.500 0.449 1
O1 0.000 0.000 0.557 1
O2 0.244 0.244 0.066 1
O3 0.500 0.500 0.539 1
```

# 2
The following is a DFT calculation (PBE+U) of an optimized crystal structure of Ti2MoPbO8.

Crystal system: monoclinic
Electronic total energy in eV for the cell shown: -184.380

```
data_Ti2MoPbO8
_space_group_name_H-M_alt 'C 1 2/m 1'
_space_group_IT_number 12
_cell_length_a 7.826
_cell_length_b 6.287
_cell_length_c 6.937
_cell_angle_alpha 90.00
_cell_angle_beta 101.05
_cell_angle_gamma 90.00
loop_
_space_group_symop_operation_xyz
'x,y,z'
'-x,-y,-z'
'-x,y,-z'
'x,-y,z'
'x+1/2,y+1/2,z'
'-x+1/2,-y+1/2,-z'
'-x+1/2,y+1/2,-z'
'x+1/2,-y+1/2,z'
loop_
_atom_site_label
_atom_site_fract_x
_atom_site_fract_y
_atom_site_fract_z
_atom_site_occupancy
Ti1 0.060 0.000 0.221 1
Mo1 0.000 0.500 0.500 1
Pb1 0.000 0.500 0.000 1
O1 0.005 0.280 0.297 1
O2 0.162 0.000 0.009 1
O3 0.245 0.500 0.568 1
```

# 3
The following is a DFT calculation (PBE+U) of an optimized crystal structure of Tl2MoPb2O6.

Crystal system: monoclinic
Electronic total energy in eV for the cell shown: -123.124

```
data_Tl2MoPb2O6
_space_group_name_H-M_alt 'C 1 2/m 1'
_space_group_IT_number 12
_cell_length_a 6.474
_cell_length_b 10.240
_cell_length_c 6.584
_cell_angle_alpha 90.00
_cell_angle_beta 104.61
_cell_angle_gamma 90.00
loop_
_space_group_symop_operation_xyz
'x,y,z'
'-x,-y,-z'
'-x,y,-z'
'x,-y,z'
'x+1/2,y+1/2,z'
'-x+1/2,-y+1/2,-z'
'-x+1/2,y+1/2,-z'
'x+1/2,-y+1/2,z'
loop_
_atom_site_label
_atom_site_fract_x
_atom_site_fract_y
_atom_site_fract_z
_atom_site_occupancy
Tl1 0.000 0.170 0.000 1
Mo1 0.000 0.000 0.500 1
Pb1 0.000 0.335 0.500 1
O1 0.174 0.000 0.293 1
O2 0.183 0.140 0.659 1
```

# 4
The following is a DFT calculation (PBE+U) of an optimized crystal structure of Tl2MoPbO4.

Crystal system: triclinic
Electronic total energy in eV for the cell shown: -43.540

```
data_Tl2MoPbO4
_space_group_name_H-M_alt 'P 1'
_space_group_IT_number 1
_cell_length_a 5.782
_cell_length_b 6.240
_cell_length_c 6.485
_cell_angle_alpha 106.21
_cell_angle_beta 113.74
_cell_angle_gamma 90.46
loop_
_space_group_symop_operation_xyz
'x,y,z'
loop_
_atom_site_label
_atom_site_fract_x
_atom_site_fract_y
_atom_site_fract_z
_atom_site_occupancy
Tl1 0.000 0.000 0.000 1
Tl2 0.366 0.943 0.582 1
Mo1 0.853 0.402 0.588 1
Pb1 0.557 0.791 0.130 1
O1 0.153 0.567 0.807 1
O2 0.673 0.575 0.413 1
O3 0.683 0.317 0.734 1
O4 0.914 0.151 0.403 1
```

> Which of these has the lowest electronic total energy?

Ti2MoPbO8

> Among the records above, which one has the highest electronic total energy?

Tl2MoPbO4